# HfHgSe2Br

A relaxed HfHgSe2Br crystal (PBE, the Alexandria database).

a = 5.1907 Å, b = 5.1907 Å, c = 5.2867 Å
α = 90.00°, β = 90.00°, γ = 90.00°
Closest atoms and distances in Å follow each position.
Space group P4/mmm (No. 123)
Inequivalent atoms, fractional coordinates:
Hf (0.0000, 0.0000, 0.0000)  4 Br 3.67, 8 Se 3.70
Hg (0.5000, 0.5000, 0.5000)  4 Se 2.60, 2 Br 2.64
Se (0.0000, 0.5000, 0.5000)  2 Hg 2.60
Br (0.5000, 0.5000, 0.0000)  2 Hg 2.64

Summary:
Theoretical density, g cm⁻³: 7.2
Formation energy from raw total energies, meV/atom: 669
Energy above the lowest structure with this stoichiometry, eV per formula unit: 6.42

=====

# TbNpTc2

A relaxed TbNpTc2 crystal (PBE, the Alexandria database).

a = 3.3214 Å, b = 3.3214 Å, c = 25.0730 Å
α = 90.00°, β = 90.00°, γ = 120.00°
Closest atoms and distances in Å follow each position.
Space group R-3m (No. 166, hexagonal axes)
Inequivalent atoms, fractional coordinates:
Tb (0.0000, 0.0000, 0.0000)  6 Tc 3.13, 6 Tb 3.32
Np (0.0000, 0.0000, 0.5000)  6 Tc 2.57
Tc (0.0000, 0.0000, 0.2349)  3 Np 2.57

Summary:
Theoretical density, g cm⁻³: 12.3
Formation enthalpy at 0 K, eV/atom: 0.16
Energy above the lowest structure with this stoichiometry, eV per formula unit: 0.61

=====

# Er4GaAu3

A relaxed Er4GaAu3 crystal (PBE, the Alexandria database).

a = 3.6747 Å, b = 4.6295 Å, c = 10.9944 Å
α = 90.00°, β = 90.00°, γ = 90.00°
Closest atoms and distances in Å follow each position.
Space group Pmm2 (No. 25)
Inequivalent atoms, fractional coordinates:
Er (0.0000, 0.0000, 0.0000)  6 Au 3.01-3.10, 1 Ga 3.04
Er (0.0000, 0.5000, 0.2796)  7 Au 3.01-3.10
Er (0.5000, 0.0000, 0.4954)  5 Au 2.95-3.03, 2 Ga 3.11
Er (0.5000, 0.5000, 0.7830)  3 Au 2.96-3.09, 4 Ga 3.03
Ga (0.0000, 0.0000, 0.7233)  2 Au 2.95, 7 Er 3.03-3.11
Au (0.0000, 0.5000, 0.5573)  2 Ga 2.95, 7 Er 3.03-3.09
Au (0.5000, 0.0000, 0.2270)  7 Er 2.95-3.10, 2 Au 3.01
Au (0.5000, 0.5000, 0.0524)  7 Er 2.96-3.10, 2 Au 3.01

Summary:
Theoretical density, g cm⁻³: 11.8
Formation enthalpy at 0 K, eV/atom: -0.81

=====

# Na3GaS3

A relaxed Na3GaS3 crystal (PBE, the Alexandria database).

a = 7.2338 Å, b = 6.9952 Å, c = 14.6413 Å
α = 90.00°, β = 119.14°, γ = 90.00°
Closest atoms and distances in Å follow each position.
Space group P2_1/c (No. 14)
Inequivalent atoms, fractional coordinates:
Na (0.0672, 0.0366, 0.2925)  4 S 2.79-3.01, 1 Ga 3.12
Na (0.2691, 0.5018, 0.6105)  4 S 2.78-3.01
Na (0.3084, 0.0012, 0.6040)  4 S 2.88-2.94
Ga (0.3328, 0.6429, 0.4178)  4 S 2.26-2.36
S (0.0522, 0.7422, 0.9283)  1 Ga 2.26
S (0.3438, 0.7447, 0.2739)  1 Ga 2.26
S (0.3515, 0.1936, 0.9292)  2 Ga 2.32-2.36

Summary:
Theoretical density, g cm⁻³: 2.4
Formation energy from raw total energies, meV/atom: -1036
Energy above the lowest structure with this stoichiometry, eV per formula unit: 0.00